Record 1
VASP calculation (PBE-GGA) on a relaxed structure of Dy3Th2Tc2.

Geometry as POSCAR:
```
Dy3Th2Tc2
1.0
6.012 -1.977 0.000
6.012 1.977 0.000
-3.265 0.000 7.928
Dy Th Tc
3 2 2
direct
0.000 0.000 0.000
0.122 0.122 0.420
0.878 0.878 0.580
0.338 0.338 0.195
0.662 0.662 0.805
0.310 0.310 0.788
0.690 0.690 0.212
```

Results
ρ: 10.11 g cm⁻³
Magnetization: 0.0 μB per formula unit
SG: C2/m
Energy relative to the elements: -0.1138 eV/atom
Total energy: -7.168 eV per atom

Record 2
VASP calculation (PBE-GGA) on a relaxed structure of DyTh4Tc2.

Geometry as POSCAR:
```
DyTh4Tc2
1.0
7.889 0.000 0.000
0.000 6.643 0.000
-2.993 0.000 7.322
Dy Th Tc
2 8 4
direct
0.166 0.250 0.028
0.834 0.750 0.972
0.025 0.250 0.383
0.228 0.750 0.316
0.404 0.002 0.756
0.404 0.498 0.756
0.596 0.502 0.244
0.596 0.998 0.244
0.772 0.250 0.684
0.975 0.750 0.617
0.245 0.750 0.984
0.379 0.250 0.425
0.621 0.750 0.575
0.755 0.250 0.016
```

Results
ρ: 11.13 g cm⁻³
Magnetization: 0.0 μB per formula unit
SG: P2_1/m
Energy relative to the elements: -0.0353 eV/atom
Total energy: -7.894 eV per atom

Record 3
VASP calculation (PBE-GGA) on a relaxed structure of DyTh2Tc.

Geometry as POSCAR:
```
DyTh2Tc
1.0
3.550 0.000 0.000
0.000 3.550 0.000
0.000 0.000 8.631
Dy Th Tc
1 2 1
direct
0.000 0.000 0.000
0.500 0.500 0.293
0.500 0.500 0.707
0.000 0.000 0.500
```

Results
ρ: 11.06 g cm⁻³
Magnetization: 0.0 μB per formula unit
SG: P4/mmm
Energy relative to the elements: 0.0207 eV/atom
Total energy: -7.431 eV per atom
Polymorph energy (0 for the lowest one): 0.1430 eV per atom